(1)
Mo5Ir2Pt2 after structural relaxation. Source: Alexandria, functional PBE-GGA.

a b c (Å): 4.819 4.819 8.707
angles (deg): 91.30 91.30 47.13
Fractional coordinates of all 9 atoms:
Mo: 0.000 0.000 0.000
Mo: 0.095 0.095 0.685
Mo: 0.394 0.394 0.809
Mo: 0.606 0.606 0.191
Mo: 0.905 0.905 0.315
Ir: 0.306 0.306 0.103
Ir: 0.694 0.694 0.897
Pt: 0.199 0.199 0.401
Pt: 0.801 0.801 0.599

Properties
Space-group type: C2/m (12)
Formation energy (eV/atom): 0.0233
Energy (Ry/atom): -0.6839
Mass density (kg/m3): 14063



(2)
CaCd2Ir after structural relaxation. Source: Alexandria, functional PBE-GGA.

a b c (Å): 6.208 6.208 6.208
angles (deg): 149.79 133.46 56.50
Fractional coordinates of all 4 atoms:
Ca: 0.000 0.000 0.000
Cd: 0.292 0.792 0.500
Cd: 0.708 0.208 0.500
Ir: 0.500 0.500 0.000

Properties
Space-group type: Immm (71)
Formation energy (eV/atom): -0.1621
Energy (Ry/atom): -0.2451
Mass density (kg/m3): 8747



(3)
DyLuBeHg after structural relaxation. Source: Alexandria, functional PBE-GGA.

a b c (Å): 5.038 5.038 5.038
angles (deg): 60.00 60.00 60.00
Fractional coordinates of all 4 atoms:
Dy: 0.000 0.000 0.000
Lu: 0.500 0.500 0.500
Be: 0.750 0.750 0.750
Hg: 0.250 0.250 0.250

Properties
Space-group type: F-43m (216)
Formation energy (eV/atom): -0.1297
Energy (Ry/atom): -0.2512
Mass density (kg/m3): 10045